Entry from the Alexandria database: a relaxed structure of SrNdHfMnO6 (PBE with a Hubbard U).

The structure in CIF format:
```
data_SrNdHfMnO6
_cell_length_a 5.705
_cell_length_b 5.705
_cell_length_c 5.705
_cell_angle_alpha 60.00
_cell_angle_beta 60.00
_cell_angle_gamma 60.00
_symmetry_space_group_name_H-M 'P 1'
_symmetry_Int_Tables_number 1
_symmetry_space_group_name_Hall 'P 1'
loop_
_atom_site_label
_atom_site_type_symbol
_atom_site_fract_x
_atom_site_fract_y
_atom_site_fract_z
Sr1 Sr 0.000 0.000 0.000
Nd1 Nd 0.500 0.500 0.500
Hf1 Hf 0.250 0.250 0.250
Mn1 Mn 0.750 0.750 0.750
O1 O 0.503 0.503 0.997
O2 O 0.503 0.997 0.503
O3 O 0.503 0.997 0.997
O4 O 0.997 0.503 0.503
O5 O 0.997 0.503 0.997
O6 O 0.997 0.997 0.503
```

energy	-8.15	eV per atom
N(E_F)	0.202	states/eV per atom
ρ	7.10	Mg/m³
spin magnetization	4.000	μB/cell